(1)
DFT (SCAN) results for a PBEsol-optimized structure of AlIr2.

Output
Calculated total energy: -150.95 eV/cell
Density of states at the Fermi level: 3.4 states/eV/cell
ρ: 16.19 g cm⁻³
Calculated volume: 42.19 Å³/cell

a = 2.7587 Å, b = 4.2026 Å, c = 4.2026 Å
α = 120.00°, β = 90.00°, γ = 90.00°
Fractional coordinates of all 3 atoms:
1 Ir 0.7423 0.3333 0.6667
2 Ir 0.2577 0.6667 0.3333
3 Al 0.0000 0.0000 0.0000

***

(2)
DFT (SCAN) results for a PBEsol-optimized structure of Al9Ir2.

Output
Calculated total energy: -437.82 eV/cell
Density of states at the Fermi level: 5.2 states/eV/cell
ρ: 5.89 g cm⁻³
Calculated volume: 353.63 Å³/cell

a = 6.3475 Å, b = 6.4293 Å, c = 8.6998 Å
α = 90.00°, β = 95.11°, γ = 90.00°
Fractional coordinates of all 22 atoms:
1 Al 0.2894 0.3960 0.9607
2 Al 0.5000 0.0000 0.0000
3 Al 0.7106 0.8960 0.5393
4 Al 0.4025 0.7156 0.7719
5 Al 0.1110 0.6954 0.5026
6 Al 0.4025 0.7844 0.2719
7 Al 0.0995 0.4790 0.2300
8 Al 0.7106 0.6040 0.0393
9 Al 0.5975 0.2156 0.7281
10 Al 0.8890 0.3046 0.4974
11 Al 0.9005 0.9790 0.2700
12 Al 0.2894 0.1040 0.4607
13 Al 0.5000 0.5000 0.5000
14 Al 0.9005 0.5210 0.7700
15 Al 0.1110 0.8046 0.0026
16 Al 0.5975 0.2844 0.2281
17 Al 0.0995 0.0210 0.7300
18 Al 0.8890 0.1954 0.9974
19 Ir 0.7646 0.6225 0.3316
20 Ir 0.7646 0.8775 0.8316
21 Ir 0.2354 0.3775 0.6684
22 Ir 0.2354 0.1225 0.1684

***

(3)
DFT (SCAN) results for a PBEsol-optimized structure of K2AlIr.

Output
Calculated total energy: -93.20 eV/cell
Density of states at the Fermi level: 2.0 states/eV/cell
ρ: 5.80 g cm⁻³
Calculated volume: 85.21 Å³/cell

a = 3.9537 Å, b = 3.9537 Å, c = 5.4511 Å
α = 90.00°, β = 90.00°, γ = 90.00°
Fractional coordinates of all 4 atoms:
1 Ir 0.0000 0.0000 0.5000
2 K 0.0000 0.5000 0.0000
3 K 0.5000 0.0000 0.0000
4 Al 0.5000 0.5000 0.5000

***

(4)
DFT (SCAN) results for a PBEsol-optimized structure of KAl2Ir2.

Output
Calculated total energy: -337.02 eV/cell
Density of states at the Fermi level: 2.9 states/eV/cell
ρ: 9.66 g cm⁻³
Calculated volume: 164.10 Å³/cell

a = 2.8104 Å, b = 7.6414 Å, c = 7.6414 Å
α = 90.00°, β = 90.00°, γ = 90.00°
Fractional coordinates of all 10 atoms:
1 Al 0.5000 0.6405 0.8595
2 Al 0.5000 0.1405 0.6405
3 Al 0.5000 0.3595 0.1405
4 Al 0.5000 0.8595 0.3595
5 K 0.0000 0.5000 0.5000
6 K 0.0000 0.0000 0.0000
7 Ir 0.0000 0.8538 0.6462
8 Ir 0.0000 0.6462 0.1462
9 Ir 0.0000 0.1462 0.3538
10 Ir 0.0000 0.3538 0.8538

***

Question: What is the formula in the third record?
Answer: K2AlIr